Record 1
{
  "formula": "MnCdH2",
  "functional": "PBE-GGA",
  "state": "optimized geometry",
  "dos_ef_per_ev_cell": 1.8,
  "sg": "I-42d",
  "final_energy_ev_per_atom": -3.97,
  "m_tot_mub_per_cell": 5.79,
  "cell": [[-2.210, 2.210, 4.335], [2.210, -2.210, 4.335], [2.210, 2.210, -4.335]],
  "species": ["Mn", "Mn", "Cd", "Cd", "H", "H", "H", "H"],
  "frac_coords": [[0.000, 0.000, 0.000], [0.750, 0.250, 0.500], [0.250, 0.750, 0.500], [0.500, 0.500, 0.000], [0.020, 0.625, 0.895], [0.375, 0.270, 0.395], [0.730, 0.125, 0.105], [0.875, 0.980, 0.605]]
}

Record 2
{
  "formula": "Mn3Cd5H12",
  "functional": "PBE-GGA",
  "state": "optimized geometry",
  "dos_ef_per_ev_cell": 17.9,
  "sg": "Ia-3d",
  "final_energy_ev_per_atom": -3.11,
  "m_tot_mub_per_cell": 0.00,
  "cell": [[-5.601, 5.601, 5.601], [5.601, -5.601, 5.601], [5.601, 5.601, -5.601]],
  "species": ["Mn", "Mn", "Mn", "Mn", "Mn", "Mn", "Mn", "Mn", "Mn", "Mn", "Mn", "Mn", "Cd", "Cd", "Cd", "Cd", "Cd", "Cd", "Cd", "Cd", "Cd", "Cd", "Cd", "Cd", "Cd", "Cd", "Cd", "Cd", "Cd", "Cd", "Cd", "Cd", "H", "H", "H", "H", "H", "H", "H", "H", "H", "H", "H", "H", "H", "H", "H", "H", "H", "H", "H", "H", "H", "H", "H", "H", "H", "H", "H", "H", "H", "H", "H", "H", "H", "H", "H", "H", "H", "H", "H", "H", "H", "H", "H", "H", "H", "H", "H", "H"],
  "frac_coords": [[0.125, 0.250, 0.375], [0.125, 0.375, 0.750], [0.250, 0.375, 0.125], [0.250, 0.875, 0.625], [0.375, 0.125, 0.250], [0.375, 0.750, 0.125], [0.625, 0.250, 0.875], [0.625, 0.875, 0.750], [0.750, 0.125, 0.375], [0.750, 0.625, 0.875], [0.875, 0.625, 0.250], [0.875, 0.750, 0.625], [0.000, 0.000, 0.000], [0.000, 0.000, 0.500], [0.000, 0.500, 0.000], [0.000, 0.500, 0.500], [0.125, 0.750, 0.875], [0.125, 0.875, 0.250], [0.250, 0.125, 0.875], [0.250, 0.625, 0.375], [0.375, 0.250, 0.625], [0.375, 0.625, 0.750], [0.500, 0.000, 0.000], [0.500, 0.000, 0.500], [0.500, 0.500, 0.000], [0.500, 0.500, 0.500], [0.625, 0.375, 0.250], [0.625, 0.750, 0.375], [0.750, 0.375, 0.625], [0.750, 0.875, 0.125], [0.875, 0.125, 0.750], [0.875, 0.250, 0.125], [0.075, 0.759, 0.654], [0.075, 0.817, 0.422], [0.078, 0.683, 0.425], [0.078, 0.895, 0.654], [0.105, 0.259, 0.183], [0.105, 0.346, 0.922], [0.154, 0.259, 0.575], [0.154, 0.395, 0.578], [0.183, 0.105, 0.259], [0.183, 0.578, 0.925], [0.241, 0.346, 0.925], [0.241, 0.395, 0.317], [0.259, 0.183, 0.105], [0.259, 0.575, 0.154], [0.317, 0.241, 0.395], [0.317, 0.575, 0.922], [0.346, 0.922, 0.105], [0.346, 0.925, 0.241], [0.395, 0.317, 0.241], [0.395, 0.578, 0.154], [0.422, 0.075, 0.817], [0.422, 0.846, 0.605], [0.425, 0.078, 0.683], [0.425, 0.846, 0.741], [0.575, 0.154, 0.259], [0.575, 0.922, 0.317], [0.578, 0.154, 0.395], [0.578, 0.925, 0.183], [0.605, 0.422, 0.846], [0.605, 0.683, 0.759], [0.654, 0.075, 0.759], [0.654, 0.078, 0.895], [0.683, 0.425, 0.078], [0.683, 0.759, 0.605], [0.741, 0.425, 0.846], [0.741, 0.817, 0.895], [0.759, 0.605, 0.683], [0.759, 0.654, 0.075], [0.817, 0.422, 0.075], [0.817, 0.895, 0.741], [0.846, 0.605, 0.422], [0.846, 0.741, 0.425], [0.895, 0.654, 0.078], [0.895, 0.741, 0.817], [0.922, 0.105, 0.346], [0.922, 0.317, 0.575], [0.925, 0.183, 0.578], [0.925, 0.241, 0.346]]
}

Record 3
{
  "formula": "MnCdH2",
  "functional": "PBE-GGA",
  "state": "optimized geometry",
  "dos_ef_per_ev_cell": 1.1,
  "sg": "Fm-3m",
  "final_energy_ev_per_atom": -3.51,
  "m_tot_mub_per_cell": 3.33,
  "cell": [[0.000, 2.761, 2.761], [2.761, 0.000, 2.761], [2.761, 2.761, 0.000]],
  "species": ["Mn", "Cd", "H", "H"],
  "frac_coords": [[0.000, 0.000, 0.000], [0.500, 0.500, 0.500], [0.250, 0.250, 0.250], [0.750, 0.750, 0.750]]
}

Record 4
{
  "formula": "MnCdH2",
  "functional": "PBE-GGA",
  "state": "optimized geometry",
  "dos_ef_per_ev_cell": 1.0,
  "sg": "R-3m",
  "final_energy_ev_per_atom": -4.11,
  "m_tot_mub_per_cell": 3.02,
  "cell": [[1.418, 0.819, 6.379], [-1.418, 0.819, 6.379], [0.000, -1.637, 6.379]],
  "species": ["Mn", "Cd", "H", "H"],
  "frac_coords": [[0.000, 0.000, 0.000], [0.500, 0.500, 0.500], [0.295, 0.295, 0.295], [0.705, 0.705, 0.705]]
}

Record 5
{
  "formula": "MnCd3H",
  "functional": "PBE-GGA",
  "state": "optimized geometry",
  "dos_ef_per_ev_cell": 3.5,
  "sg": "Pm-3m",
  "final_energy_ev_per_atom": -2.15,
  "m_tot_mub_per_cell": 4.60,
  "cell": [[5.277, 0.000, 0.000], [0.000, 5.277, 0.000], [0.000, 0.000, 5.277]],
  "species": ["Mn", "Cd", "Cd", "Cd", "H"],
  "frac_coords": [[0.000, 0.000, 0.000], [0.000, 0.000, 0.500], [0.000, 0.500, 0.000], [0.500, 0.000, 0.000], [0.500, 0.500, 0.500]]
}

Record 6
{
  "formula": "Mn5Cd3H12",
  "functional": "PBE-GGA",
  "state": "optimized geometry",
  "dos_ef_per_ev_cell": 24.7,
  "sg": "Ia-3d",
  "final_energy_ev_per_atom": -4.21,
  "m_tot_mub_per_cell": 53.49,
  "cell": [[-5.584, 5.584, 5.584], [5.584, -5.584, 5.584], [5.584, 5.584, -5.584]],
  "species": ["Mn", "Mn", "Mn", "Mn", "Mn", "Mn", "Mn", "Mn", "Mn", "Mn", "Mn", "Mn", "Mn", "Mn", "Mn", "Mn", "Mn", "Mn", "Mn", "Mn", "Cd", "Cd", "Cd", "Cd", "Cd", "Cd", "Cd", "Cd", "Cd", "Cd", "Cd", "Cd", "H", "H", "H", "H", "H", "H", "H", "H", "H", "H", "H", "H", "H", "H", "H", "H", "H", "H", "H", "H", "H", "H", "H", "H", "H", "H", "H", "H", "H", "H", "H", "H", "H", "H", "H", "H", "H", "H", "H", "H", "H", "H", "H", "H", "H", "H", "H", "H"],
  "frac_coords": [[0.000, 0.000, 0.000], [0.000, 0.000, 0.500], [0.000, 0.500, 0.000], [0.000, 0.500, 0.500], [0.125, 0.750, 0.875], [0.125, 0.875, 0.250], [0.250, 0.125, 0.875], [0.250, 0.625, 0.375], [0.375, 0.250, 0.625], [0.375, 0.625, 0.750], [0.500, 0.000, 0.000], [0.500, 0.000, 0.500], [0.500, 0.500, 0.000], [0.500, 0.500, 0.500], [0.625, 0.375, 0.250], [0.625, 0.750, 0.375], [0.750, 0.375, 0.625], [0.750, 0.875, 0.125], [0.875, 0.125, 0.750], [0.875, 0.250, 0.125], [0.125, 0.250, 0.375], [0.125, 0.375, 0.750], [0.250, 0.375, 0.125], [0.250, 0.875, 0.625], [0.375, 0.125, 0.250], [0.375, 0.750, 0.125], [0.625, 0.250, 0.875], [0.625, 0.875, 0.750], [0.750, 0.125, 0.375], [0.750, 0.625, 0.875], [0.875, 0.625, 0.250], [0.875, 0.750, 0.625], [0.019, 0.188, 0.104], [0.019, 0.330, 0.914], [0.084, 0.688, 0.670], [0.084, 0.896, 0.414], [0.086, 0.604, 0.416], [0.086, 0.981, 0.670], [0.104, 0.019, 0.188], [0.104, 0.586, 0.916], [0.170, 0.188, 0.584], [0.170, 0.481, 0.586], [0.188, 0.104, 0.019], [0.188, 0.584, 0.170], [0.312, 0.330, 0.916], [0.312, 0.481, 0.396], [0.330, 0.914, 0.019], [0.330, 0.916, 0.312], [0.396, 0.312, 0.481], [0.396, 0.584, 0.914], [0.414, 0.084, 0.896], [0.414, 0.830, 0.519], [0.416, 0.086, 0.604], [0.416, 0.830, 0.812], [0.481, 0.396, 0.312], [0.481, 0.586, 0.170], [0.519, 0.414, 0.830], [0.519, 0.604, 0.688], [0.584, 0.170, 0.188], [0.584, 0.914, 0.396], [0.586, 0.170, 0.481], [0.586, 0.916, 0.104], [0.604, 0.416, 0.086], [0.604, 0.688, 0.519], [0.670, 0.084, 0.688], [0.670, 0.086, 0.981], [0.688, 0.519, 0.604], [0.688, 0.670, 0.084], [0.812, 0.416, 0.830], [0.812, 0.896, 0.981], [0.830, 0.519, 0.414], [0.830, 0.812, 0.416], [0.896, 0.414, 0.084], [0.896, 0.981, 0.812], [0.914, 0.019, 0.330], [0.914, 0.396, 0.584], [0.916, 0.104, 0.586], [0.916, 0.312, 0.330], [0.981, 0.670, 0.086], [0.981, 0.812, 0.896]]
}

Record 7
{
  "formula": "MnCdH3",
  "functional": "PBE-GGA",
  "state": "optimized geometry",
  "dos_ef_per_ev_cell": 3.9,
  "sg": "Pm-3m",
  "final_energy_ev_per_atom": -3.24,
  "m_tot_mub_per_cell": 5.02,
  "cell": [[3.906, 0.000, 0.000], [0.000, 3.906, 0.000], [0.000, 0.000, 3.906]],
  "species": ["Mn", "Cd", "H", "H", "H"],
  "frac_coords": [[0.000, 0.000, 0.000], [0.500, 0.500, 0.500], [0.000, 0.500, 0.500], [0.500, 0.000, 0.500], [0.500, 0.500, 0.000]]
}

Record 8
{
  "formula": "NaMn2CdH",
  "functional": "PBE-GGA",
  "state": "optimized geometry",
  "dos_ef_per_ev_cell": 3.9,
  "sg": "P4/mmm",
  "final_energy_ev_per_atom": -3.07,
  "m_tot_mub_per_cell": 9.99,
  "cell": [[5.433, 0.000, 0.000], [0.000, 5.433, 0.000], [0.000, 0.000, 5.498]],
  "species": ["Na", "Mn", "Mn", "Cd", "H"],
  "frac_coords": [[0.000, 0.000, 0.000], [0.000, 0.500, 0.000], [0.500, 0.000, 0.000], [0.000, 0.000, 0.500], [0.500, 0.500, 0.500]]
}